No. 1
This record from Alexandria describes an optimized crystal structure of Mg2BePt. The functional is PBE.

Properties
* symmetry: R-3m, No. 166
* energy of formation: -0.012 eV per atom

Cell: 8.690 8.690 8.690 Å, 19.55 19.55 19.55°
Fractional positions:
1 Mg 0.248 0.248 0.248
2 Mg 0.752 0.752 0.752
3 Be 0.500 0.500 0.500
4 Pt 0.000 0.000 0.000

=====

No. 2
This record from Alexandria describes an optimized crystal structure of MgBe4Pt. The functional is PBE.

Properties
* symmetry: F-43m, No. 216
* energy of formation: -0.472 eV per atom

Cell: 4.433 4.433 4.433 Å, 60.00 60.00 60.00°
Fractional positions:
1 Mg 0.000 0.000 0.000
2 Be 0.376 0.376 0.376
3 Be 0.376 0.376 0.873
4 Be 0.376 0.873 0.376
5 Be 0.873 0.376 0.376
6 Pt 0.750 0.750 0.750

=====

No. 3
This record from Alexandria describes an optimized crystal structure of MgBePt3. The functional is PBE.

Properties
* offset from the most stable computed form: 0.000 eV/atom
* symmetry: Pm-3m, No. 221
* energy of formation: -0.479 eV per atom

Cell: 4.247 4.247 4.247 Å, 90.00 90.00 90.00°
Fractional positions:
1 Mg 0.000 0.000 0.000
2 Be 0.500 0.500 0.500
3 Pt 0.000 0.500 0.500
4 Pt 0.500 0.000 0.500
5 Pt 0.500 0.500 0.000

=====

No. 4
This record from Alexandria describes an optimized crystal structure of MgBe2Pt3. The functional is PBE.

Properties
* offset from the most stable computed form: 0.154 eV/atom
* symmetry: P6/mmm, No. 191
* energy of formation: -0.661 eV per atom

Cell: 5.490 5.490 3.362 Å, 90.00 90.00 120.00°
Fractional positions:
1 Mg 0.000 0.000 0.000
2 Be 0.333 0.667 0.000
3 Be 0.667 0.333 0.000
4 Pt 0.000 0.500 0.500
5 Pt 0.500 0.000 0.500
6 Pt 0.500 0.500 0.500

=====

- What is the formula in the third record?
  MgBePt3

=====

- Which of these has the highest energy of formation?
  Mg2BePt

=====

- Among the records above, which one has the highest energy of formation?
  Mg2BePt